# SmNpFe2O6 | Alexandria via LeMat-Bulk | GGA+U | optimized geometry
# E_tot in eV for the cell shown: -82.778
data_SmNpFe2O6
_cell_length_a 5.5565
_cell_length_b 5.6009
_cell_length_c 5.8875
_cell_angle_alpha 90.13
_cell_angle_beta 117.33
_cell_angle_gamma 119.48
_space_group_name_H-M_alt 'P 1'
_space_group_IT_number 1
loop_
_space_group_symop_operation_xyz
'x,y,z'
loop_
_atom_site_label
_atom_site_type_symbol
_atom_site_fract_x
_atom_site_fract_y
_atom_site_fract_z
Sm1 Sm 0.0000 0.0000 0.0000
Np1 Np 0.9835 0.4893 0.4691
Fe1 Fe 0.5675 0.2763 0.8451
Fe2 Fe 0.5906 0.8079 0.3747
O1 O 0.0945 0.2006 0.6667
O2 O 0.1062 0.4252 0.1937
O3 O 0.4755 0.8879 0.6576
O4 O 0.5132 0.0992 0.1646
O5 O 0.7715 0.6844 0.1981
O6 O 0.7922 0.5654 0.6838